Entry 1:
## TlFe3Si (PBE-GGA)

Data for TlFe3Si after structural relaxation. Values from VASP.

Cell and atoms, written as Quantum ESPRESSO input:
```
&SYSTEM
  ibrav = 0, nat = 5, ntyp = 3
/
ATOMIC_SPECIES
Tl 204.38 Tl.upf
Fe 55.84 Fe.upf
Si 28.09 Si.upf
CELL_PARAMETERS angstrom
4.838 0.000 0.000
0.000 4.838 0.000
0.000 0.000 4.838
ATOMIC_POSITIONS angstrom
Tl 0.000 0.000 0.000
Fe 0.000 0.000 2.419
Fe 0.000 2.419 0.000
Fe 2.419 0.000 0.000
Si 2.419 2.419 2.419
```

Summary:
The value obtained for the relative energy among the computed polymorphs is 607 kJ/mol of formula units. As for the total magnetization: 8.60 μB per formula unit. The value obtained for the volume is 113.2 Å³ per cell.

Entry 2:
## NdDySc2 (PBE-GGA)

Data for NdDySc2 after structural relaxation. Values from VASP.

Cell and atoms, written as Quantum ESPRESSO input:
```
&SYSTEM
  ibrav = 0, nat = 4, ntyp = 3
/
ATOMIC_SPECIES
Nd 144.24 Nd.upf
Dy 162.50 Dy.upf
Sc 44.96 Sc.upf
CELL_PARAMETERS angstrom
1.731 1.000 11.059
-1.731 1.000 11.059
0.000 -1.999 11.059
ATOMIC_POSITIONS angstrom
Nd 0.000 0.000 0.000
Dy 0.000 0.000 27.675
Sc 0.000 0.000 8.257
Sc 0.000 0.000 13.901
```

Summary:
The value obtained for the relative energy among the computed polymorphs is 8 kJ/mol of formula units. As for the total magnetization: 0.00 μB per formula unit. The value obtained for the volume is 114.8 Å³ per cell.

Entry 3:
## Ta2CdPb (PBE-GGA)

Data for Ta2CdPb after structural relaxation. Values from VASP.

Cell and atoms, written as Quantum ESPRESSO input:
```
&SYSTEM
  ibrav = 0, nat = 4, ntyp = 3
/
ATOMIC_SPECIES
Ta 180.95 Ta.upf
Cd 112.41 Cd.upf
Pb 207.20 Pb.upf
CELL_PARAMETERS angstrom
3.659 0.000 0.000
0.000 3.659 0.000
0.000 0.000 6.043
ATOMIC_POSITIONS angstrom
Ta 0.000 0.000 1.483
Ta 0.000 0.000 4.559
Cd 1.830 1.830 0.000
Pb 1.830 1.830 3.021
```

Summary:
As for the total magnetization: 0.00 μB per formula unit. The total energy is -6.412 eV per atom. The value obtained for the volume is 80.9 Å³ per cell.